# 1
Material: GaSnF2
Method: DFT, PBE-GGA
State: relaxed

Cell lengths 8.072, 8.072, 8.072 Å; angles 24.19, 24.19, 24.19 degrees
Atoms (fractional coordinates):
Ga 0.500 0.500 0.500
F 0.904 0.904 0.904
Sn 0.000 0.000 0.000
F 0.096 0.096 0.096

Computed properties:
The calculation puts the magnetization at 0.000 μB/f.u. For the mass density, the calculation gives 4.84 g/cm³. As for the symmetry: R-3m.

=====

# 2
Material: GaSnF
Method: DFT, PBE-GGA
State: relaxed

Cell lengths 3.122, 10.023, 8.702 Å; angles 81.11, 90.00, 90.00 degrees
Atoms (fractional coordinates):
Ga 0.500 0.872 0.545
Ga 0.000 0.372 0.045
F 0.000 0.136 0.304
Sn 0.501 0.653 0.389
F 0.500 0.364 0.196
F 0.500 0.636 0.804
Ga 0.500 0.128 0.455
Sn 0.001 0.847 0.111
Ga 0.000 0.628 0.955
F 0.000 0.864 0.696
Sn 0.499 0.347 0.611
Sn 0.999 0.153 0.889

Computed properties:
The calculation puts the magnetization at 0.000 μB/f.u. For the mass density, the calculation gives 5.12 g/cm³. As for the symmetry: C2/m.

=====

# 3
Material: GaSn2F6
Method: DFT, PBE-GGA
State: relaxed

Cell lengths 5.501, 5.501, 10.414 Å; angles 90.00, 90.00, 90.00 degrees
Atoms (fractional coordinates):
Sn 0.000 0.000 0.652
F 0.255 0.745 0.500
Ga 0.000 0.000 0.000
Ga 0.500 0.500 0.500
F 0.681 0.681 0.637
F 0.181 0.819 0.137
Sn 0.000 0.000 0.348
Sn 0.500 0.500 0.152
F 0.181 0.819 0.863
F 0.819 0.181 0.137
F 0.245 0.245 0.000
Sn 0.500 0.500 0.848
F 0.681 0.681 0.363
F 0.319 0.319 0.363
F 0.755 0.755 0.000
F 0.819 0.181 0.863
F 0.745 0.255 0.500
F 0.319 0.319 0.637

Computed properties:
The calculation puts the magnetization at 0.000 μB/f.u. For the mass density, the calculation gives 4.44 g/cm³. As for the symmetry: P4_2/mnm.

=====

# 4
Material: GaSnF2
Method: DFT, PBE-GGA
State: relaxed

Cell lengths 8.316, 8.316, 8.316 Å; angles 21.71, 21.71, 21.71 degrees
Atoms (fractional coordinates):
Sn 0.500 0.500 0.500
F 0.087 0.087 0.087
F 0.913 0.913 0.913
Ga 0.000 0.000 0.000

Computed properties:
The calculation puts the magnetization at 0.000 μB/f.u. For the mass density, the calculation gives 5.45 g/cm³. As for the symmetry: R-3m.

=====

# 5
Material: GaSnF2
Method: DFT, PBE-GGA
State: relaxed

Cell lengths 6.007, 6.007, 6.427 Å; angles 62.14, 62.14, 90.00 degrees
Atoms (fractional coordinates):
F 0.375 0.557 0.750
Ga 0.500 0.500 0.000
F 0.307 0.625 0.250
F 0.875 0.693 0.750
Ga 0.250 0.750 0.500
Sn 0.750 0.250 0.500
Sn 0.000 0.000 0.000
F 0.443 0.125 0.250

Computed properties:
The calculation puts the magnetization at 0.000 μB/f.u. For the mass density, the calculation gives 4.32 g/cm³. As for the symmetry: I-42d.

=====

# 6
Material: GaSn3F
Method: DFT, PBE-GGA
State: relaxed

Cell lengths 5.005, 5.005, 5.005 Å; angles 90.00, 90.00, 90.00 degrees
Atoms (fractional coordinates):
Sn 0.000 0.000 0.500
F 0.000 0.000 0.000
Sn 0.000 0.500 0.000
Ga 0.500 0.500 0.500
Sn 0.500 0.000 0.000

Computed properties:
The calculation puts the magnetization at 0.000 μB/f.u. For the mass density, the calculation gives 5.89 g/cm³. As for the symmetry: Pm-3m.

=====

no.,raw formation energy (eV/atom)
1,-1.500
2,-1.009
3,-2.124
4,-1.409
5,-1.137
6,-0.278